Material: KIr2Ru
Method: DFT, meta-GGA SCAN
State: PBEsol geometry

abc: 2.683 4.935 5.829
angles: 115.05 103.31 90.00
Element x y z (fractional)
Ir 0.997 0.997 0.993
Ir 0.717 0.217 0.433
K 0.502 0.502 0.003
Ru 0.285 0.785 0.570

**D(E_F)**: 4.1 states/eV per cell
**Energy of formation**: 0.837 eV per atom
**SG**: No. 44